# 1
Compound: TlSN
Source: the Alexandria database
Functional: PBE
Structure: optimized geometry

## Properties
Size of the total moment (μB/f.u.): 0.0
Fermi-level density of states (states/eV/atom): 0.014
Energy above the most stable polymorph in this dataset (eV per atom): 0.0000
ΔE_f (raw) (eV/f.u.): 1.20
Space group: No. 2

Geometry as extended XYZ:
```
6
Lattice="6.452 0.455 0.193 -1.835 6.514 -2.446 -2.346 -0.647 3.506" Properties=species:S:1:pos:R:3 pbc="T T T"
Tl 2.996 1.150 2.903
Tl -0.725 5.172 -1.650
N 2.545 2.829 1.033
N -0.274 3.493 0.219
S 0.198 3.778 1.675
S 2.073 2.544 -0.423
```

***

# 2
Compound: TlS2N2
Source: the Alexandria database
Functional: PBE
Structure: optimized geometry

## Properties
Size of the total moment (μB/f.u.): 1.6
Fermi-level density of states (states/eV/atom): 0.448
Energy above the most stable polymorph in this dataset (eV per atom): 1.1358
ΔE_f (raw) (eV/f.u.): 8.46
Space group: No. 123

Geometry as extended XYZ:
```
5
Lattice="-1.847 3.586 0.910 -0.423 -1.215 3.930 3.845 1.739 0.952" Properties=species:S:1:pos:R:3 pbc="T T T"
N 0.000 0.000 0.000
N 1.922 0.869 0.476
S -0.212 -0.607 1.965
S -0.924 1.793 0.455
Tl 0.787 2.055 2.896
```

***

> The lowest energy above the most stable polymorph in this dataset belongs to which entry?

TlSN

***

> The lowest size of the total moment belongs to which entry?

TlSN

***

What did the second record say?
Compound: TlS2N2
Source: the Alexandria database
Functional: PBE
Structure: optimized geometry

## Properties
Size of the total moment (μB/f.u.): 1.6
Fermi-level density of states (states/eV/atom): 0.448
Energy above the most stable polymorph in this dataset (eV per atom): 1.1358
ΔE_f (raw) (eV/f.u.): 8.46
Space group: No. 123

Geometry as extended XYZ:
```
5
Lattice="-1.847 3.586 0.910 -0.423 -1.215 3.930 3.845 1.739 0.952" Properties=species:S:1:pos:R:3 pbc="T T T"
N 0.000 0.000 0.000
N 1.922 0.869 0.476
S -0.212 -0.607 1.965
S -0.924 1.793 0.455
Tl 0.787 2.055 2.896
```